Entry 1:
Computed, not measured: LiTlPt2 after structural relaxation at the PBE level of DFT.

Values from the calculation:
The magnetic moment comes out at 0.00 Bohr magnetons per cell. As for the energy relative to the elements: -280 meV per atom. The value obtained for the density of states at the Fermi level is 0.396 states/eV/atom. The calculation puts the total energy at -4.371 eV/atom.

Lattice parameters (Å, degrees): 4.0607 4.0607 8.1266 90.00 90.00 90.00
Space group I-4m2 (No. 119)
Symmetry-distinct sites (fractional):
Li 0.0000 0.0000 0.0000 x2
Tl 0.0000 0.5000 0.2500 x2
Pt 0.0000 0.0000 0.5000 x2
Pt 0.0000 0.5000 0.7500 x2

=====

Entry 2:
Computed, not measured: LiTlPt after structural relaxation at the PBE level of DFT.

Values from the calculation:
The magnetic moment comes out at 0.00 Bohr magnetons per cell. As for the energy relative to the elements: -305 meV per atom. The value obtained for the density of states at the Fermi level is 0.387 states/eV/atom. The calculation puts the total energy at -3.745 eV/atom.

Lattice parameters (Å, degrees): 4.8516 4.8346 5.1392 90.00 117.46 90.00
Space group P2_1/m (No. 11)
Symmetry-distinct sites (fractional):
Li 0.0367 0.2500 0.1444 x2
Tl 0.2694 0.7500 0.5071 x2
Pt 0.3909 0.2500 0.8358 x2

=====

Entry 3:
Computed, not measured: LiTlPt2 after structural relaxation at the PBE level of DFT.

Values from the calculation:
The magnetic moment comes out at 0.00 Bohr magnetons per cell. As for the energy relative to the elements: -265 meV per atom. The value obtained for the density of states at the Fermi level is 0.200 states/eV/atom. The calculation puts the total energy at -4.355 eV/atom.

Lattice parameters (Å, degrees): 2.9578 3.8813 5.8254 90.00 90.00 90.00
Space group Pmmm (No. 47)
Symmetry-distinct sites (fractional):
Li 0.0000 0.0000 0.0000 x1
Tl 0.0000 0.0000 0.5000 x1
Pt 0.5000 0.5000 0.2318 x2

=====

Entry 4:
Computed, not measured: LiTlPt2 after structural relaxation at the PBE level of DFT.

Values from the calculation:
The magnetic moment comes out at 0.00 Bohr magnetons per cell. As for the energy relative to the elements: -195 meV per atom. The value obtained for the density of states at the Fermi level is 0.488 states/eV/atom. The calculation puts the total energy at -4.285 eV/atom.

Lattice parameters (Å, degrees): 5.6736 9.4920 2.9077 90.00 119.00 90.00
Space group C2/m (No. 12)
Symmetry-distinct sites (fractional):
Li 0.0000 0.0000 0.0000 x2
Tl 0.0000 0.5000 0.0000 x2
Pt 0.2500 0.2500 0.5000 x4

=====

Entry 5:
Computed, not measured: Li3Tl2Pt after structural relaxation at the PBE level of DFT.

Values from the calculation:
The magnetic moment comes out at 0.00 Bohr magnetons per cell. As for the energy relative to the elements: -326 meV per atom. The value obtained for the density of states at the Fermi level is 0.279 states/eV/atom. The calculation puts the total energy at -3.079 eV/atom.

Lattice parameters (Å, degrees): 4.6017 14.0217 6.6261 90.00 90.00 90.00
Space group Cmmm (No. 65)
Symmetry-distinct sites (fractional):
Li 0.0000 0.0000 0.2274 x4
Li 0.0000 0.3198 0.2057 x8
Tl 0.0000 0.1637 0.5000 x4
Tl 0.0000 0.5000 0.0000 x2
Tl 0.0000 0.5000 0.5000 x2
Pt 0.0000 0.1584 0.0000 x4

=====

Entry 6:
Computed, not measured: Li6TlPt after structural relaxation at the PBE level of DFT.

Values from the calculation:
The magnetic moment comes out at 0.00 Bohr magnetons per cell. As for the energy relative to the elements: -272 meV per atom. The value obtained for the density of states at the Fermi level is 0.321 states/eV/atom. The calculation puts the total energy at -2.758 eV/atom.

Lattice parameters (Å, degrees): 4.6236 5.7168 9.8705 90.00 90.00 90.00
Space group Amm2 (No. 38)
Symmetry-distinct sites (fractional):
Li 0.0000 0.0000 0.0000 x2
Li 0.0000 0.2298 0.2290 x4
Li 0.5000 0.0000 0.6526 x2
Li 0.5000 0.2494 0.4042 x4
Tl 0.0000 0.0000 0.4856 x2
Pt 0.5000 0.0000 0.1539 x2

=====

Entry 7:
Computed, not measured: Li3TlPt after structural relaxation at the PBE level of DFT.

Values from the calculation:
The energy above the most stable polymorph in this dataset comes out at 0.2177 eV per atom. The magnetic moment comes out at 0.00 Bohr magnetons per cell. As for the energy relative to the elements: -150 meV per atom. The value obtained for the density of states at the Fermi level is 0.480 states/eV/atom. The calculation puts the total energy at -2.979 eV/atom.

Lattice parameters (Å, degrees): 4.7562 4.7562 4.7562 90.00 90.00 90.00
Space group Pm-3m (No. 221)
Symmetry-distinct sites (fractional):
Li 0.0000 0.0000 0.5000 x3
Tl 0.5000 0.5000 0.5000 x1
Pt 0.0000 0.0000 0.0000 x1

=====

Entry 8:
Computed, not measured: Li8Tl2Pt after structural relaxation at the PBE level of DFT.

Values from the calculation:
The magnetic moment comes out at 0.00 Bohr magnetons per cell. As for the energy relative to the elements: -270 meV per atom. The value obtained for the density of states at the Fermi level is 0.362 states/eV/atom. The calculation puts the total energy at -2.641 eV/atom.

Lattice parameters (Å, degrees): 14.5989 4.3530 6.2320 90.00 104.76 90.00
Space group C2/m (No. 12)
Symmetry-distinct sites (fractional):
Li 0.0266 0.0000 0.2498 x4
Li 0.0916 0.5000 0.9134 x4
Li 0.1417 0.0000 0.6612 x4
Li 0.1621 0.5000 0.4048 x4
Tl 0.2084 0.0000 0.1443 x4
Pt 0.0000 0.5000 0.5000 x2

=====

Entry 9:
Computed, not measured: LiTlPt after structural relaxation at the PBE level of DFT.

Values from the calculation:
The magnetic moment comes out at 0.00 Bohr magnetons per cell. As for the energy relative to the elements: -263 meV per atom. The value obtained for the density of states at the Fermi level is 0.459 states/eV/atom. The calculation puts the total energy at -3.703 eV/atom.

Lattice parameters (Å, degrees): 6.3808 6.3808 6.3808 90.00 90.00 90.00
Space group F-43m (No. 216)
Symmetry-distinct sites (fractional):
Li 0.0000 0.0000 0.0000 x4
Tl 0.0000 0.0000 0.5000 x4
Pt 0.2500 0.2500 0.2500 x4

=====

Entry 10:
Computed, not measured: LiTlPt2 after structural relaxation at the PBE level of DFT.

Values from the calculation:
The magnetic moment comes out at 0.00 Bohr magnetons per cell. As for the energy relative to the elements: -264 meV per atom. The value obtained for the density of states at the Fermi level is 0.242 states/eV/atom. The calculation puts the total energy at -4.354 eV/atom.

Lattice parameters (Å, degrees): 5.8299 7.7026 2.9991 90.00 90.00 90.00
Space group Cmmm (No. 65)
Symmetry-distinct sites (fractional):
Li 0.0000 0.0000 0.0000 x2
Tl 0.0000 0.5000 0.0000 x2
Pt 0.2500 0.2500 0.5000 x4

=====

Entry 11:
Computed, not measured: Li2Tl2Pt after structural relaxation at the PBE level of DFT.

Values from the calculation:
The energy above the most stable polymorph in this dataset comes out at 0.1053 eV per atom. The magnetic moment comes out at 0.00 Bohr magnetons per cell. As for the energy relative to the elements: -44 meV per atom. The value obtained for the density of states at the Fermi level is 0.296 states/eV/atom. The calculation puts the total energy at -2.965 eV/atom.

Lattice parameters (Å, degrees): 3.6449 3.6449 14.5363 90.00 90.00 90.00
Space group I4/mmm (No. 139)
Symmetry-distinct sites (fractional):
Li 0.0000 0.5000 0.2500 x4
Tl 0.0000 0.0000 0.1034 x4
Pt 0.0000 0.0000 0.5000 x2

=====

Entry 12:
Computed, not measured: Li4TlPt2 after structural relaxation at the PBE level of DFT.

Values from the calculation:
The magnetic moment comes out at 0.00 Bohr magnetons per cell. As for the energy relative to the elements: -390 meV per atom. The value obtained for the density of states at the Fermi level is 0.383 states/eV/atom. The calculation puts the total energy at -3.547 eV/atom.

Lattice parameters (Å, degrees): 8.1398 6.4841 5.3586 90.00 127.89 90.00
Space group C2/m (No. 12)
Symmetry-distinct sites (fractional):
Li 0.2036 0.2027 0.2006 x8
Tl 0.0000 0.0000 0.5000 x2
Pt 0.0082 0.5000 0.2576 x4